Run A
Entry from Alexandria via LeMat-Bulk: a relaxed structure of TiTeP2O (PBE-GGA).

Unit cell a=4.9836 b=4.9836 c=3.7011 alpha=90.00 beta=90.00 gamma=90.00
Space group P4/mmm (No. 123)
Inequivalent atoms, fractional coordinates:
Ti 0.0000 0.0000 0.0000 x1
Te 0.5000 0.5000 0.5000 x1
P 0.0000 0.5000 0.0000 x2
O 0.0000 0.0000 0.5000 x1

Computed properties:
calculated volume	18.385	Å³/atom

=====

Run B
Entry from Alexandria via LeMat-Bulk: a relaxed structure of TiTeP2O (PBE-GGA).

Unit cell a=5.0184 b=5.0184 c=3.9134 alpha=90.00 beta=90.00 gamma=90.00
Space group P4/mmm (No. 123)
Inequivalent atoms, fractional coordinates:
Ti 0.0000 0.0000 0.0000 x1
Te 0.5000 0.5000 0.5000 x1
P 0.0000 0.5000 0.5000 x2
O 0.5000 0.5000 0.0000 x1

Computed properties:
calculated volume	19.711	Å³/atom

=====

In terms of stability, run A leads; the second structure lies 986 meV per atom higher.

=====

Run A
Entry from Alexandria via LeMat-Bulk: a relaxed structure of TlTeP2O (PBE-GGA).

Unit cell a=5.1971 b=5.1971 c=4.1231 alpha=90.00 beta=90.00 gamma=90.00
Space group P4/mmm (No. 123)
Inequivalent atoms, fractional coordinates:
Tl 0.0000 0.0000 0.0000 x1
Te 0.5000 0.5000 0.5000 x1
P 0.0000 0.5000 0.0000 x2
O 0.0000 0.0000 0.5000 x1

Computed properties:
calculated volume	22.273	Å³/atom

=====

Run B
Entry from Alexandria via LeMat-Bulk: a relaxed structure of TlTeP2O (PBE-GGA).

Unit cell a=5.2545 b=5.2545 c=4.0160 alpha=90.00 beta=90.00 gamma=90.00
Space group P4/mmm (No. 123)
Inequivalent atoms, fractional coordinates:
Tl 0.0000 0.0000 0.0000 x1
Te 0.5000 0.5000 0.5000 x1
P 0.0000 0.5000 0.5000 x2
O 0.5000 0.5000 0.0000 x1

Computed properties:
calculated volume	22.176	Å³/atom

=====

In terms of stability, run B leads; the second structure lies 449 meV per atom higher.

=====

Run A
Entry from Alexandria via LeMat-Bulk: a relaxed structure of TlTePO2 (PBE-GGA).

Unit cell a=4.1216 b=4.1216 c=5.9567 alpha=90.00 beta=90.00 gamma=90.00
Space group P4/mmm (No. 123)
Inequivalent atoms, fractional coordinates:
Tl 0.0000 0.0000 0.0000 x1
Te 0.5000 0.5000 0.5000 x1
P 0.0000 0.0000 0.5000 x1
O 0.0000 0.5000 0.0000 x2

Computed properties:
calculated volume	20.238	Å³/atom

=====

Run B
Entry from Alexandria via LeMat-Bulk: a relaxed structure of TlTePO2 (PBE-GGA).

Unit cell a=4.0824 b=4.0824 c=5.4256 alpha=90.00 beta=90.00 gamma=90.00
Space group P4/mmm (No. 123)
Inequivalent atoms, fractional coordinates:
Tl 0.0000 0.0000 0.0000 x1
Te 0.5000 0.5000 0.5000 x1
P 0.5000 0.5000 0.0000 x1
O 0.0000 0.5000 0.5000 x2

Computed properties:
calculated volume	18.085	Å³/atom

=====

In terms of stability, run B leads; the second structure lies 783 meV per atom higher.

=====

Run A
Entry from Alexandria via LeMat-Bulk: a relaxed structure of ZnTeP2O (PBE-GGA).

Unit cell a=4.8845 b=4.8845 c=3.6949 alpha=90.00 beta=90.00 gamma=90.00
Space group P4/mmm (No. 123)
Inequivalent atoms, fractional coordinates:
Zn 0.0000 0.0000 0.0000 x1
Te 0.5000 0.5000 0.5000 x1
P 0.0000 0.5000 0.0000 x2
O 0.0000 0.0000 0.5000 x1

Computed properties:
calculated volume	17.631	Å³/atom

=====

Run B
Entry from Alexandria via LeMat-Bulk: a relaxed structure of ZnTeP2O (PBE-GGA).

Unit cell a=5.1562 b=5.1562 c=3.9298 alpha=90.00 beta=90.00 gamma=90.00
Space group P4/mmm (No. 123)
Inequivalent atoms, fractional coordinates:
Zn 0.0000 0.0000 0.0000 x1
Te 0.5000 0.5000 0.5000 x1
P 0.0000 0.5000 0.5000 x2
O 0.5000 0.5000 0.0000 x1

Computed properties:
calculated volume	20.895	Å³/atom

=====

In terms of stability, run A leads; the second structure lies 200 meV per atom higher.

=====

Run A
Entry from Alexandria via LeMat-Bulk: a relaxed structure of ZrTeP2O (PBE-GGA).

Unit cell a=5.0134 b=5.0134 c=3.9497 alpha=90.00 beta=90.00 gamma=90.00
Space group P4/mmm (No. 123)
Inequivalent atoms, fractional coordinates:
Zr 0.0000 0.0000 0.0000 x1
Te 0.5000 0.5000 0.5000 x1
P 0.0000 0.5000 0.5000 x2
O 0.5000 0.5000 0.0000 x1

Computed properties:
calculated volume	19.854	Å³/atom

=====

Run B
Entry from Alexandria via LeMat-Bulk: a relaxed structure of ZrTeP2O (PBE-GGA).

Unit cell a=5.2513 b=5.2513 c=3.9709 alpha=90.00 beta=90.00 gamma=90.00
Space group P4/mmm (No. 123)
Inequivalent atoms, fractional coordinates:
Zr 0.0000 0.0000 0.0000 x1
Te 0.5000 0.5000 0.5000 x1
P 0.0000 0.5000 0.0000 x2
O 0.0000 0.0000 0.5000 x1

Computed properties:
calculated volume	21.901	Å³/atom

=====

In terms of stability, run B leads; the second structure lies 608 meV per atom higher.

=====

Run A
Entry from Alexandria via LeMat-Bulk: a relaxed structure of ThPO5 (PBE-GGA).

Unit cell a=8.2346 b=8.5014 c=8.3995 alpha=90.00 beta=119.26 gamma=90.00
Space group C2/c (No. 15)
Inequivalent atoms, fractional coordinates:
Th 0.2500 0.2500 0.0000 x4
P 0.0000 0.1134 0.2500 x4
O 0.0000 0.3122 0.7500 x4
O 0.0772 0.2166 0.1515 x8
O 0.1570 0.0060 0.3911 x8

Computed properties:
calculated volume	18.320	Å³/atom

=====

Run B
Entry from Alexandria via LeMat-Bulk: a relaxed structure of ThPO5 (PBE-GGA).

Unit cell a=7.1959 b=9.4714 c=12.9484 alpha=90.00 beta=90.00 gamma=90.00
Space group Cmce (No. 64)
Inequivalent atoms, fractional coordinates:
Th 0.0000 0.2113 0.0754 x8
P 0.0000 0.1066 0.3606 x8
O 0.0000 0.0349 0.9477 x8
O 0.0000 0.0547 0.6291 x8
O 0.0000 0.1523 0.2473 x8
O 0.1692 0.1732 0.4200 x16

Computed properties:
calculated volume	15.759	Å³/atom

=====

In terms of stability, run B leads; the second structure lies 183 meV per atom higher.